Entry 1:
Compound: Tb4Y8Er3
Source: the Alexandria database
Functional: PBE
Structure: optimized geometry

Unit cell a=6.943 b=6.943 c=12.395 alpha=73.74 beta=73.74 gamma=60.00
Positions (direct):
Tb1 0.000 0.000 0.000
Tb2 0.336 0.336 0.992
Tb3 0.500 0.500 0.500
Tb4 0.664 0.664 0.008
Y1 0.245 0.245 0.265
Y2 0.248 0.750 0.251
Y3 0.750 0.750 0.251
Y4 0.750 0.248 0.251
Y5 0.755 0.755 0.735
Y6 0.752 0.250 0.749
Y7 0.250 0.250 0.749
Y8 0.250 0.752 0.749
Er1 0.500 0.000 0.500
Er2 0.000 0.000 0.500
Er3 0.000 0.500 0.500

Summary:
E_tot: -5.447 eV per atom
V: 32.643 Å³/atom
Fermi-level density of states: 24.00 states/eV/f.u.

---

Entry 2:
Compound: TlSbSe2
Source: the Alexandria database
Functional: PBE
Structure: optimized geometry

Unit cell a=5.201 b=5.201 c=5.201 alpha=60.00 beta=60.00 gamma=60.00
Positions (direct):
Sb1 0.500 0.500 0.500
Se1 0.000 0.000 0.000
Se2 0.250 0.250 0.250
Tl1 0.750 0.750 0.750

Summary:
E_tot: -3.085 eV per atom
V: 24.878 Å³/atom
Fermi-level density of states: 3.83 states/eV/f.u.
raw formation energy: 27 kJ per mole of atoms

---

Entry 3:
Compound: Ac2CoAg
Source: the Alexandria database
Functional: PBE
Structure: optimized geometry

Unit cell a=3.747 b=3.747 c=7.940 alpha=90.00 beta=90.00 gamma=90.00
Positions (direct):
Ac1 0.000 0.000 0.773
Ac2 0.000 0.000 0.227
Co1 0.500 0.500 0.000
Ag1 0.500 0.500 0.500

Summary:
E_tot: -4.566 eV per atom
V: 27.868 Å³/atom
Fermi-level density of states: 3.51 states/eV/f.u.

---

Entry 4:
Compound: PuIn3Hg4Pb2
Source: the Alexandria database
Functional: PBE
Structure: optimized geometry

Unit cell a=4.510 b=4.510 c=14.313 alpha=90.00 beta=90.00 gamma=90.00
Positions (direct):
Pu1 0.500 0.500 0.500
In1 0.000 0.000 0.500
In2 0.500 0.000 0.852
In3 0.000 0.500 0.148
Hg1 0.500 0.500 0.000
Hg2 0.000 0.000 0.000
Hg3 0.500 0.000 0.652
Hg4 0.000 0.500 0.348
Pb1 0.500 0.000 0.282
Pb2 0.000 0.500 0.718

Summary:
E_tot: -3.046 eV per atom
V: 29.115 Å³/atom
Fermi-level density of states: 17.31 states/eV/f.u.

---

Entry 5:
Compound: FeRu2Pt
Source: the Alexandria database
Functional: PBE
Structure: optimized geometry

Unit cell a=5.422 b=5.422 c=6.520 alpha=65.43 beta=65.43 gamma=90.00
Positions (direct):
Ru1 0.590 0.125 0.250
Ru2 0.160 0.625 0.250
Ru3 0.375 0.410 0.750
Ru4 0.875 0.840 0.750
Fe1 0.500 0.500 0.000
Fe2 0.250 0.750 0.500
Pt1 0.000 0.000 0.000
Pt2 0.750 0.250 0.500

Summary:
E_tot: -7.197 eV per atom
V: 19.377 Å³/atom
Fermi-level density of states: 3.52 states/eV/f.u.

---

Entry 6:
Compound: Pd2SeBr
Source: the Alexandria database
Functional: PBE
Structure: optimized geometry

Unit cell a=4.229 b=4.229 c=6.970 alpha=72.34 beta=72.34 gamma=60.00
Positions (direct):
Se1 0.500 0.500 0.500
Br1 0.000 0.000 0.000
Pd1 0.129 0.129 0.612
Pd2 0.871 0.871 0.388

Summary:
E_tot: -3.988 eV per atom
V: 25.282 Å³/atom
Fermi-level density of states: 3.23 states/eV/f.u.
raw formation energy: -10 kJ per mole of atoms

---

Entry 7:
Compound: AsPd2N
Source: the Alexandria database
Functional: PBE
Structure: optimized geometry

Unit cell a=4.234 b=4.234 c=4.234 alpha=60.00 beta=60.00 gamma=60.00
Positions (direct):
As1 0.500 0.500 0.500
Pd1 0.250 0.250 0.250
Pd2 0.750 0.750 0.750
N1 0.000 0.000 0.000

Summary:
E_tot: -5.193 eV per atom
V: 13.417 Å³/atom
Fermi-level density of states: 3.41 states/eV/f.u.
raw formation energy: 62 kJ per mole of atoms

---

Entry 8:
Compound: Be2PtW
Source: the Alexandria database
Functional: PBE
Structure: optimized geometry

Unit cell a=2.776 b=2.776 c=6.174 alpha=90.00 beta=90.00 gamma=90.00
Positions (direct):
Be1 0.000 0.000 0.024
Be2 0.000 0.000 0.476
W1 0.500 0.500 0.750
Pt1 0.500 0.500 0.250

Summary:
E_tot: -6.903 eV per atom
V: 11.894 Å³/atom
Fermi-level density of states: 1.38 states/eV/f.u.

---

Entry 9:
Compound: Rb2BaB2S6
Source: the Alexandria database
Functional: PBE
Structure: optimized geometry

Unit cell a=5.675 b=7.024 c=10.598 alpha=115.84 beta=90.00 gamma=113.83
Positions (direct):
Rb1 0.687 0.373 0.134
Rb2 0.313 0.627 0.866
Ba1 0.500 0.000 0.500
B1 0.926 0.852 0.741
B2 0.074 0.148 0.259
S1 0.773 0.546 0.681
S2 0.213 0.936 0.213
S3 0.277 0.064 0.787
S4 0.787 0.064 0.787
S5 0.723 0.936 0.213
S6 0.227 0.454 0.319

Summary:
E_tot: -4.699 eV per atom
V: 30.888 Å³/atom
Fermi-level density of states: 2.80 states/eV/f.u.
raw formation energy: -85 kJ per mole of atoms

---

Entry 10:
Compound: Hg2PRh
Source: the Alexandria database
Functional: PBE
Structure: optimized geometry

Unit cell a=5.063 b=3.256 c=4.575 alpha=88.26 beta=90.00 gamma=90.00
Positions (direct):
Hg1 0.000 0.247 0.748
Hg2 0.000 0.753 0.252
P1 0.500 0.000 0.000
Rh1 0.500 0.500 0.500

Summary:
E_tot: -2.923 eV per atom
V: 18.850 Å³/atom
Fermi-level density of states: 2.36 states/eV/f.u.

---

Entry 11:
Compound: In2PtRh
Source: the Alexandria database
Functional: PBE
Structure: optimized geometry

Unit cell a=5.414 b=5.414 c=5.414 alpha=137.60 beta=137.60 gamma=61.52
Positions (direct):
In1 0.000 0.000 0.000
In2 0.250 0.750 0.500
Pt1 0.500 0.500 0.000
Rh1 0.750 0.250 0.500

Summary:
E_tot: -5.027 eV per atom
V: 17.831 Å³/atom
Fermi-level density of states: 1.82 states/eV/f.u.

---

Entry 12:
Compound: ZnGe
Source: the Alexandria database
Functional: PBE
Structure: optimized geometry

Unit cell a=7.041 b=7.041 c=7.041 alpha=90.00 beta=90.00 gamma=90.00
Positions (direct):
Zn1 0.250 0.000 0.500
Zn2 0.750 0.000 0.500
Zn3 0.000 0.500 0.250
Zn4 0.000 0.500 0.750
Zn5 0.500 0.250 0.000
Zn6 0.500 0.750 0.000
Ge1 0.250 0.500 0.000
Ge2 0.750 0.500 0.000
Ge3 0.500 0.000 0.250
Ge4 0.500 0.000 0.750
Ge5 0.000 0.250 0.500
Ge6 0.000 0.750 0.500

Summary:
E_tot: -2.445 eV per atom
V: 29.091 Å³/atom
Fermi-level density of states: 0.85 states/eV/f.u.